Computed, not measured: a relaxed structure of ScZn3I at the PBE-GGA level of DFT.

Summary:
- ΔE to the lowest computed polymorph: 0.000 eV per atom
- SG: Pm-3m, No. 221

a = 5.5198 Å, b = 5.5198 Å, c = 5.5198 Å
α = 90.00°, β = 90.00°, γ = 90.00°
Positions (direct):
Zn (0.0000, 0.0000, 0.5000)
Zn (0.5000, 0.0000, 0.0000)
Zn (0.0000, 0.5000, 0.0000)
Sc (0.0000, 0.0000, 0.0000)
I (0.5000, 0.5000, 0.5000)

---

Computed, not measured: a relaxed structure of Sc2ZnI2 at the PBE-GGA level of DFT.

Summary:
- ΔE to the lowest computed polymorph: 0.000 eV per atom
- SG: I4/mmm, No. 139

a = 4.2415 Å, b = 4.2415 Å, c = 10.1917 Å
α = 77.99°, β = 77.99°, γ = 90.00°
Last column: magnetic moment on the atom in μB.
Positions (direct):
Sc (0.2500, 0.7500, 0.5000)  0.72
Sc (0.7500, 0.2500, 0.5000)  0.72
Zn (0.0000, 0.0000, 0.0000)  0.00
I (0.3615, 0.3615, 0.2769)  0.00
I (0.6385, 0.6385, 0.7231)  0.00

---

Computed, not measured: a relaxed structure of ScZn2I6 at the PBE-GGA level of DFT.

Summary:
- SG: C2/c, No. 15

a = 7.4730 Å, b = 9.6082 Å, c = 9.6082 Å
α = 83.50°, β = 82.11°, γ = 82.11°
Last column: magnetic moment on the atom in μB.
Positions (direct):
I (0.1256, 0.7983, 0.9675)  0.00
I (0.1291, 0.4574, 0.2879)  0.01
I (0.3769, 0.3679, 0.8778)  0.00
I (0.6231, 0.6321, 0.1222)  0.00
I (0.6256, 0.9675, 0.7983)  0.00
I (0.3709, 0.7121, 0.5426)  0.01
I (0.1231, 0.1222, 0.6321)  0.00
I (0.6291, 0.2879, 0.4574)  0.01
I (0.8709, 0.5426, 0.7121)  0.01
I (0.8744, 0.2017, 0.0325)  0.00
I (0.8769, 0.8778, 0.3679)  0.00
I (0.3744, 0.0325, 0.2017)  0.00
Zn (0.6853, 0.7727, 0.5999)  0.03
Zn (0.1853, 0.5999, 0.7727)  0.03
Zn (0.3147, 0.2273, 0.4001)  0.03
Zn (0.8147, 0.4001, 0.2273)  0.03
Sc (0.2500, 0.0906, 0.9094)  0.55
Sc (0.7500, 0.9094, 0.0906)  0.55

---

Computed, not measured: a relaxed structure of ScZnI2 at the PBE-GGA level of DFT.

Summary:
- ΔE to the lowest computed polymorph: 0.230 eV per atom
- SG: Fm-3m, No. 225

a = 5.3601 Å, b = 5.3601 Å, c = 5.3601 Å
α = 60.00°, β = 60.00°, γ = 60.00°
Last column: magnetic moment on the atom in μB.
Positions (direct):
I (0.2500, 0.2500, 0.2500)  -0.02
I (0.7500, 0.7500, 0.7500)  -0.02
Sc (0.0000, 0.0000, 0.0000)  0.68
Zn (0.5000, 0.5000, 0.5000)  -0.01

---

Computed, not measured: a relaxed structure of ScZn3I at the PBE-GGA level of DFT.

Summary:
- ΔE to the lowest computed polymorph: 0.464 eV per atom
- SG: Pm-3m, No. 221

a = 5.2849 Å, b = 5.2849 Å, c = 5.2849 Å
α = 90.00°, β = 90.00°, γ = 90.00°
Last column: magnetic moment on the atom in μB.
Positions (direct):
Zn (0.5000, 0.0000, 0.0000)  0.00
Zn (0.0000, 0.5000, 0.0000)  0.00
Zn (0.0000, 0.0000, 0.5000)  0.00
Sc (0.5000, 0.5000, 0.5000)  0.09
I (0.0000, 0.0000, 0.0000)  0.00

---

Computed, not measured: a relaxed structure of Sc2Zn2I at the PBE-GGA level of DFT.

Summary:
- SG: P4/mbm, No. 127

a = 7.6510 Å, b = 7.6510 Å, c = 3.8419 Å
α = 90.00°, β = 90.00°, γ = 90.00°
Positions (direct):
Sc (0.3380, 0.8380, 0.0000)
Sc (0.6620, 0.1620, 0.0000)
Sc (0.8380, 0.6620, 0.0000)
Sc (0.1620, 0.3380, 0.0000)
Zn (0.3738, 0.1262, 0.5000)
Zn (0.8738, 0.3738, 0.5000)
Zn (0.1262, 0.6262, 0.5000)
Zn (0.6262, 0.8738, 0.5000)
I (0.5000, 0.5000, 0.0000)
I (0.0000, 0.0000, 0.0000)

---

Computed, not measured: a relaxed structure of ScZnI3 at the PBE-GGA level of DFT.

Summary:
- ΔE to the lowest computed polymorph: 0.602 eV per atom
- SG: Pm-3m, No. 221

a = 5.5404 Å, b = 5.5404 Å, c = 5.5404 Å
α = 90.00°, β = 90.00°, γ = 90.00°
Last column: magnetic moment on the atom in μB.
Positions (direct):
Sc (0.5000, 0.5000, 0.5000)  1.02
Zn (0.0000, 0.0000, 0.0000)  0.00
I (0.0000, 0.5000, 0.0000)  -0.02
I (0.0000, 0.0000, 0.5000)  -0.02
I (0.5000, 0.0000, 0.0000)  -0.02

---

Computed, not measured: a relaxed structure of ScZn3I9 at the PBE-GGA level of DFT.

Summary:
- SG: Cc, No. 9

a = 10.0928 Å, b = 11.0857 Å, c = 12.3174 Å
α = 74.93°, β = 65.81°, γ = 62.92°
Positions (direct):
I (0.8080, 0.9347, 0.3733)
I (0.7877, 0.9915, 0.7310)
I (0.1606, 0.6802, 0.8297)
I (0.4898, 0.4915, 0.2310)
I (0.0478, 0.5882, 0.1954)
I (0.4241, 0.7936, 0.4345)
I (0.7379, 0.4016, 0.5961)
I (0.3478, 0.2936, 0.9345)
I (0.2643, 0.9016, 0.0961)
I (0.4708, 0.2464, 0.5592)
I (0.7237, 0.7464, 0.0592)
I (0.8839, 0.4347, 0.8733)
I (0.3295, 0.1802, 0.3297)
I (0.0796, 0.5762, 0.5252)
I (0.9419, 0.2949, 0.1995)
I (0.1687, 0.0882, 0.6954)
I (0.5637, 0.7949, 0.6995)
I (0.8190, 0.0762, 0.0252)
Zn (0.9969, 0.9463, 0.8286)
Zn (0.4509, 0.7448, 0.2253)
Zn (0.5790, 0.2448, 0.7253)
Zn (0.9579, 0.0572, 0.1729)
Zn (0.2283, 0.4463, 0.3286)
Zn (0.8120, 0.5572, 0.6729)
Sc (0.4749, 0.0018, 0.5071)
Sc (0.0161, 0.5018, 0.0071)

---

Computed, not measured: a relaxed structure of ScZnI3 at the PBE-GGA level of DFT.

Summary:
- ΔE to the lowest computed polymorph: 0.000 eV per atom
- SG: Pm-3m, No. 221

a = 5.7712 Å, b = 5.7712 Å, c = 5.7712 Å
α = 90.00°, β = 90.00°, γ = 90.00°
Positions (direct):
Zn (0.5000, 0.5000, 0.5000)
Sc (0.0000, 0.0000, 0.0000)
I (0.0000, 0.0000, 0.5000)
I (0.0000, 0.5000, 0.0000)
I (0.5000, 0.0000, 0.0000)

---

Computed, not measured: a relaxed structure of ScZnI2 at the PBE-GGA level of DFT.

Summary:
- ΔE to the lowest computed polymorph: 0.000 eV per atom
- SG: I-42d, No. 122

a = 10.4992 Å, b = 10.4992 Å, c = 7.9551 Å
α = 48.71°, β = 48.71°, γ = 90.00°
Positions (direct):
I (0.2792, 0.6250, 0.2500)
I (0.8750, 0.7208, 0.7500)
I (0.4708, 0.1250, 0.2500)
I (0.3750, 0.5292, 0.7500)
Zn (0.0000, 0.0000, 0.0000)
Zn (0.7500, 0.2500, 0.5000)
Sc (0.5000, 0.5000, 0.0000)
Sc (0.2500, 0.7500, 0.5000)

---

Computed, not measured: a relaxed structure of ZrSc3I at the PBE-GGA level of DFT.

Summary:
- ΔE to the lowest computed polymorph: 0.211 eV per atom
- SG: Pm-3m, No. 221

a = 5.3507 Å, b = 5.3507 Å, c = 5.3507 Å
α = 90.00°, β = 90.00°, γ = 90.00°
Positions (direct):
I (0.5000, 0.5000, 0.5000)
Sc (0.0000, 0.5000, 0.0000)
Sc (0.0000, 0.0000, 0.5000)
Sc (0.5000, 0.0000, 0.0000)
Zr (0.0000, 0.0000, 0.0000)

---

Computed, not measured: a relaxed structure of Zr2ScI6 at the PBE-GGA level of DFT.

Summary:
- SG: C2/c, No. 15

a = 7.1534 Å, b = 11.0035 Å, c = 11.0035 Å
α = 85.81°, β = 71.28°, γ = 71.28°
Last column: magnetic moment on the atom in μB.
Positions (direct):
I (0.4445, 0.5760, 0.7079)  0.00
I (0.6788, 0.0173, 0.7929)  0.00
I (0.0555, 0.2921, 0.4240)  0.00
I (0.7336, 0.0197, 0.3262)  0.00
I (0.2664, 0.9803, 0.6738)  0.00
I (0.1788, 0.7929, 0.0173)  0.00
I (0.2336, 0.3262, 0.0197)  0.00
I (0.9445, 0.7079, 0.5760)  0.00
I (0.8212, 0.2071, 0.9827)  0.00
I (0.5555, 0.4240, 0.2921)  0.00
I (0.3212, 0.9827, 0.2071)  0.00
I (0.7664, 0.6738, 0.9803)  0.00
Zr (0.5494, 0.7863, 0.7914)  0.17
Zr (0.4506, 0.2137, 0.2086)  0.17
Zr (0.0494, 0.7914, 0.7863)  0.17
Zr (0.9506, 0.2086, 0.2137)  0.17
Sc (0.2500, 0.0425, 0.9575)  0.06
Sc (0.7500, 0.9575, 0.0425)  0.06

---

Number 1: electronic total energy -1.84 eV per atom. Number 2: electronic total energy -3.60 eV per atom. Number 3: electronic total energy -2.72 eV per atom. Number 4: electronic total energy -2.93 eV per atom. Number 5: electronic total energy -1.37 eV per atom. Number 6: electronic total energy -3.59 eV per atom. Number 7: electronic total energy -2.48 eV per atom. Number 8: electronic total energy -2.56 eV per atom. Number 9: electronic total energy -3.08 eV per atom. Number 10: electronic total energy -3.16 eV per atom. Number 11: electronic total energy -5.14 eV per atom. Number 12: electronic total energy -4.41 eV per atom.